1.
Material: LaPr2
Method: DFT, GGA-PBE
State: relaxed

```
LaPr2
1.0
-5.407 3.860 -1.496
-5.943 -1.105 3.134
-2.337 4.495 4.549
La Pr
2 4
Cartesian
0.000 0.000 0.000
-3.422 1.813 1.547
-5.583 5.084 2.300
-7.386 2.284 1.593
-5.851 2.602 4.615
-8.555 4.531 3.867
```

Computed properties:
theoretical density	6.26	Mg/m³
total moment	0.00	μB per formula unit
crystal system	cubic
ΔH_f (0 K)	0.214	eV/atom
excess energy over the best structure of this formula in the dataset	0.60	eV/f.u.
calculated volume	112	Å³/f.u.
total DFT energy (no corrections)	-4.615	eV/atom

***

2.
Material: BaCa3Re
Method: DFT, GGA-PBE
State: relaxed

```
BaCa3Re
1.0
-0.716 -1.111 5.365
5.471 -0.431 0.641
0.290 5.395 1.156
Re Ca Ba
1 3 1
Cartesian
2.523 1.926 3.581
0.145 2.697 0.578
-0.358 -0.556 2.682
2.735 -0.216 0.320
0.000 0.000 0.000
```

Computed properties:
theoretical density	4.37	Mg/m³
total moment	0.00	μB per formula unit
crystal system	cubic
ΔH_f (0 K)	2.189	eV/atom
excess energy over the best structure of this formula in the dataset	8.21	eV/f.u.
calculated volume	169	Å³/f.u.
total DFT energy (no corrections)	-1.886	eV/atom

***

3.
Material: LaPb2Br
Method: DFT, GGA-PBE
State: relaxed

```
LaPb2Br
1.0
-1.448 -0.952 3.398
1.976 -3.262 -0.092
7.034 4.144 4.158
Pb Br La
2 1 1
Cartesian
1.629 -1.303 2.460
6.988 4.117 4.131
3.964 2.335 2.344
5.531 0.996 4.767
```

Computed properties:
theoretical density	7.89	Mg/m³
total moment	0.00	μB per formula unit
crystal system	orthorhombic
excess energy over the best structure of this formula in the dataset	0.38	eV/f.u.
calculated volume	133	Å³/f.u.
ΔE_f (raw)	-700	meV/atom
total DFT energy (no corrections)	-4.204	eV/atom

***

4.
Material: RbIn4Au2
Method: DFT, GGA-PBE
State: relaxed

```
RbIn4Au2
1.0
-0.488 0.914 4.604
0.446 -8.151 1.666
19.391 1.425 1.774
Au In Rb
8 16 4
Cartesian
4.212 0.772 3.921
8.670 -1.354 4.816
14.104 -2.093 5.539
10.679 -4.458 3.227
18.293 0.668 5.435
15.137 -6.584 4.122
5.245 -3.719 2.504
1.056 -6.481 2.608
3.825 -1.295 1.872
13.585 -4.231 3.490
15.386 0.468 5.167
1.869 -7.321 5.280
18.597 -4.242 6.442
3.963 -6.281 2.876
5.764 -1.581 4.553
13.546 -1.046 2.854
0.752 -1.571 1.601
10.467 -1.222 2.562
15.523 -4.518 6.171
8.006 -3.253 2.704
5.803 -4.766 5.190
8.882 -4.590 5.481
17.479 1.509 2.764
11.343 -2.559 5.339
12.013 -6.439 6.180
17.238 -2.438 3.522
7.336 0.627 1.863
2.111 -3.374 4.521
```

Computed properties:
theoretical density	8.12	Mg/m³
total moment	0.00	μB per formula unit
crystal system	orthorhombic
ΔH_f (0 K)	-0.232	eV/atom
excess energy over the best structure of this formula in the dataset	0.00	eV/f.u.
calculated volume	192	Å³/f.u.
total DFT energy (no corrections)	-2.871	eV/atom